DFT (PBE) results for a relaxed K3NbCr2Te6 crystal.

a = 7.2971 Å, b = 7.2971 Å, c = 8.3555 Å
α = 98.40°, β = 98.40°, γ = 120.02°
Last column: nearest neighbours and their distance in Å.
Fractional coordinates of all 12 atoms:
K (0.0000, 0.0000, 0.0000)  6 Te 3.48-3.53
K (0.3360, 0.6640, 0.0000)  6 Te 3.49-3.53
K (0.6640, 0.3360, 0.0000)  6 Te 3.49-3.53
Nb (0.5000, 0.5000, 0.5000)  6 Te 2.88
Cr (0.1669, 0.8331, 0.5000)  6 Te 2.82
Cr (0.8331, 0.1669, 0.5000)  6 Te 2.82
Te (0.0985, 0.4388, 0.3169)  2 Cr 2.82, 1 Nb 2.88
Te (0.2206, 0.2206, 0.6824)  2 Cr 2.82, 1 Nb 2.88
Te (0.4388, 0.0985, 0.3169)  2 Cr 2.82, 1 Nb 2.88
Te (0.5612, 0.9015, 0.6831)  2 Cr 2.82, 1 Nb 2.88
Te (0.7794, 0.7794, 0.3176)  2 Cr 2.82, 1 Nb 2.88
Te (0.9015, 0.5612, 0.6831)  2 Cr 2.82, 1 Nb 2.88

E in eV for the cell shown: -57.90
Mass density in g/cm3: 4.87
Space group: C2/m, No. 12
ΔE_f (raw) in meV per atom: -537